## CdRe2Hg (GGA-PBEsol)

Data for a geometry-optimized CdRe2Hg structure.

Structure (POSCAR):
```
CdRe2Hg
1.0
-1.9204 1.9204 4.5728
1.9204 -1.9204 4.5728
1.9204 1.9204 -4.5728
Cd Re Hg
1 2 1
direct
0.0000 0.0000 0.0000
0.2500 0.7500 0.5000
0.7500 0.2500 0.5000
0.5000 0.5000 0.0000
```

Calculated values
formation enthalpy at 0 K: 0.93 eV/atom
symmetry: I4/mmm
energy above the lowest structure with this stoichiometry: 260 meV/atom
spin magnetization: 0.00 μB/f.u.